Compound: AsPRh2
Source: Alexandria via LeMat-Bulk
Functional: PBE
Structure: relaxed

a = 4.1182 Å, b = 4.1182 Å, c = 5.2141 Å
α = 102.09°, β = 102.09°, γ = 42.48°
Atoms (fractional coordinates):
As1 0.0000 0.0000 0.0000
P1 0.5000 0.5000 0.5000
Rh1 0.2429 0.2429 0.7323
Rh2 0.7571 0.7571 0.2677

Results
* theoretical density: 8895 kg/m³
* space group: C2/m
* energy above the lowest structure with this stoichiometry: 0.179 eV per atom
* calculated total energy: -6.4524 eV/atom
* ΔH_f (0 K): -0.26 eV per atom